First-principles (PBE+U) data for a relaxed CdWNF2 crystal, as listed in the Alexandria database.

The total magnetization is 3.2 μB/cell. The calculation puts the relative energy among the computed polymorphs at 101.3 kJ/mol of atoms.

It has space group P4/mmm (No. 123), with a = 4.148 Å, b = 4.148 Å, c = 4.611 Å, α = 90.00°, β = 90.00° and γ = 90.00°. Symmetry generates all atoms from Cd at (0.000, 0.000, 0.000), W at (0.500, 0.500, 0.500), N at (0.000, 0.000, 0.500) and F at (0.000, 0.500, 0.000).